1.
Below is AcPd3Au4O12 after structural relaxation, with properties calculated at the GGA-PBE level.

Output
* energy relative to the elements, uncorrected: -0.44 eV per atom
* volume: 14.381 Å³ per atom
* size of the total moment: 0.00 Bohr magnetons per cell
* mass density: 8.8 g/cm³

a b c (Å): 6.9816 6.9816 6.9816
angles (deg): 106.44 106.44 106.44
Fractional positions:
Ac 0.0000 0.0000 0.0000
Pd 0.5876 0.4124 0.0000
Pd 0.4124 0.0000 0.5876
Pd 0.0000 0.5876 0.4124
Au 0.8694 0.1306 0.5000
Au 0.1306 0.5000 0.8694
Au 0.5000 0.8694 0.1306
Au 0.5000 0.5000 0.5000
O 0.5000 0.3172 0.6828
O 0.9156 0.5000 0.0844
O 0.0844 0.9156 0.5000
O 0.5000 0.0844 0.9156
O 0.3318 0.9958 0.2772
O 0.2772 0.3318 0.9958
O 0.9958 0.2772 0.3318
O 0.6682 0.7228 0.0042
O 0.0042 0.6682 0.7228
O 0.7228 0.0042 0.6682
O 0.6828 0.5000 0.3172
O 0.3172 0.6828 0.5000

2.
Below is AcPm3Au4O12 after structural relaxation, with properties calculated at the GGA-PBE level.

Output
* energy relative to the elements, uncorrected: -1.43 eV per atom
* volume: 18.034 Å³ per atom
* size of the total moment: 2.00 Bohr magnetons per cell
* mass density: 7.6 g/cm³

a b c (Å): 7.4116 7.4116 7.4116
angles (deg): 104.36 104.36 104.36
Site moments in Bohr magnetons follow the coordinates.
Fractional positions:
Ac 0.0000 0.0000 0.0000  0.01
Pm 0.5518 0.4482 0.0000  0.00
Pm 0.4482 0.0000 0.5518  0.00
Pm 0.0000 0.5518 0.4482  0.00
Au 0.9265 0.0735 0.5000  0.09
Au 0.0735 0.5000 0.9265  0.09
Au 0.5000 0.9265 0.0735  0.09
Au 0.5000 0.5000 0.5000  0.38
O 0.5000 0.3302 0.6698  0.15
O 0.8983 0.5000 0.1017  0.04
O 0.1017 0.8983 0.5000  0.04
O 0.5000 0.1017 0.8983  0.04
O 0.3290 0.0079 0.2237  0.10
O 0.2237 0.3290 0.0079  0.10
O 0.0079 0.2237 0.3290  0.10
O 0.6710 0.7763 0.9921  0.10
O 0.9921 0.6710 0.7763  0.10
O 0.7763 0.9921 0.6710  0.10
O 0.6698 0.5000 0.3302  0.15
O 0.3302 0.6698 0.5000  0.15

3.
Below is Ac2PmAuO5 after structural relaxation, with properties calculated at the GGA-PBE level.

Output
* energy relative to the elements, uncorrected: -2.22 eV per atom
* volume: 16.735 Å³ per atom
* size of the total moment: 0.00 Bohr magnetons per cell
* mass density: 9.7 g/cm³

a b c (Å): 6.1746 6.9847 6.9847
angles (deg): 90.00 90.00 90.00
Fractional positions:
Ac 0.5000 0.6620 0.1620
Ac 0.5000 0.1620 0.3380
Ac 0.5000 0.8380 0.6620
Ac 0.5000 0.3380 0.8380
Pm 0.0000 0.5000 0.5000
Pm 0.0000 0.0000 0.0000
Au 0.0000 0.0000 0.5000
Au 0.0000 0.5000 0.0000
O 0.5000 0.5000 0.5000
O 0.5000 0.0000 0.0000
O 0.2271 0.1812 0.6812
O 0.2271 0.8188 0.3188
O 0.2271 0.3188 0.1812
O 0.2271 0.6812 0.8188
O 0.7729 0.1812 0.6812
O 0.7729 0.6812 0.8188
O 0.7729 0.8188 0.3188
O 0.7729 0.3188 0.1812

4.
Below is Ac2PmAuO6 after structural relaxation, with properties calculated at the GGA-PBE level.

Output
* energy relative to the elements, uncorrected: -2.34 eV per atom
* volume: 18.694 Å³ per atom
* size of the total moment: 0.00 Bohr magnetons per cell
* mass density: 7.9 g/cm³

a b c (Å): 6.1019 5.5350 5.5350
angles (deg): 90.00 90.00 90.00
Fractional positions:
Ac 0.0038 0.5000 0.0000
Ac 0.0038 0.0000 0.5000
Pm 0.5369 0.5000 0.5000
Au 0.6864 0.0000 0.0000
O 0.7311 0.2540 0.2540
O 0.7311 0.2540 0.7460
O 0.1632 0.5000 0.5000
O 0.1283 0.0000 0.0000
O 0.7311 0.7460 0.7460
O 0.7311 0.7460 0.2540

5.
Below is AcPr2AuO5 after structural relaxation, with properties calculated at the GGA-PBE level.

Output
* energy relative to the elements, uncorrected: -2.40 eV per atom
* volume: 16.016 Å³ per atom
* size of the total moment: 0.00 Bohr magnetons per cell
* mass density: 9.1 g/cm³

a b c (Å): 6.2332 6.8007 6.8007
angles (deg): 90.00 90.00 90.00
Fractional positions:
Ac 0.0000 0.5000 0.5000
Ac 0.0000 0.0000 0.0000
Pr 0.5000 0.6641 0.1641
Pr 0.5000 0.1641 0.3359
Pr 0.5000 0.8359 0.6641
Pr 0.5000 0.3359 0.8359
Au 0.0000 0.0000 0.5000
Au 0.0000 0.5000 0.0000
O 0.5000 0.5000 0.5000
O 0.5000 0.0000 0.0000
O 0.2460 0.1719 0.6719
O 0.2460 0.8281 0.3281
O 0.2460 0.3281 0.1719
O 0.2460 0.6719 0.8281
O 0.7540 0.1719 0.6719
O 0.7540 0.6719 0.8281
O 0.7540 0.8281 0.3281
O 0.7540 0.3281 0.1719

6.
Below is Ac2PrAuO6 after structural relaxation, with properties calculated at the GGA-PBE level.

Output
* energy relative to the elements, uncorrected: -2.31 eV per atom
* volume: 19.106 Å³ per atom
* size of the total moment: 0.00 Bohr magnetons per cell
* mass density: 7.7 g/cm³

a b c (Å): 6.2219 5.5415 5.5415
angles (deg): 90.00 90.00 90.00
Fractional positions:
Ac 0.0011 0.5000 0.0000
Ac 0.0011 0.0000 0.5000
Pr 0.5334 0.5000 0.5000
Au 0.6914 0.0000 0.0000
O 0.7342 0.2536 0.2536
O 0.7342 0.2536 0.7464
O 0.1585 0.5000 0.5000
O 0.1245 0.0000 0.0000
O 0.7342 0.7464 0.7464
O 0.7342 0.7464 0.2536

7.
Below is Ac2PrAuO5 after structural relaxation, with properties calculated at the GGA-PBE level.

Output
* energy relative to the elements, uncorrected: -2.25 eV per atom
* volume: 16.880 Å³ per atom
* size of the total moment: 0.00 Bohr magnetons per cell
* mass density: 9.5 g/cm³

a b c (Å): 6.1891 7.0067 7.0067
angles (deg): 90.00 90.00 90.00
Fractional positions:
Ac 0.5000 0.6622 0.1622
Ac 0.5000 0.1622 0.3378
Ac 0.5000 0.8378 0.6622
Ac 0.5000 0.3378 0.8378
Pr 0.0000 0.5000 0.5000
Pr 0.0000 0.0000 0.0000
Au 0.0000 0.0000 0.5000
Au 0.0000 0.5000 0.0000
O 0.5000 0.5000 0.5000
O 0.5000 0.0000 0.0000
O 0.2293 0.1798 0.6798
O 0.2293 0.8202 0.3202
O 0.2293 0.3202 0.1798
O 0.2293 0.6798 0.8202
O 0.7707 0.1798 0.6798
O 0.7707 0.6798 0.8202
O 0.7707 0.8202 0.3202
O 0.7707 0.3202 0.1798

8.
Below is Ac2PtAu2O2 after structural relaxation, with properties calculated at the GGA-PBE level.

Output
* energy relative to the elements, uncorrected: -1.13 eV per atom
* volume: 26.139 Å³ per atom
* size of the total moment: 0.34 Bohr magnetons per cell
* mass density: 9.8 g/cm³

a b c (Å): 5.2204 5.2204 7.7526
angles (deg): 90.00 90.00 120.00
Site moments in Bohr magnetons follow the coordinates.
Fractional positions:
Ac 0.6667 0.3333 0.3107  0.00
Ac 0.3333 0.6667 0.6893  0.00
Pt 0.0000 0.0000 0.0000  0.28
Au 0.0000 0.0000 0.6700  0.02
Au 0.0000 0.0000 0.3300  0.02
O 0.6667 0.3333 0.5991  0.00
O 0.3333 0.6667 0.4009  0.00